No. 1
Here is Ca2MgSc at its PBEsol-relaxed geometry from the Alexandria database. Energies are from meta-GGA SCAN.

extended XYZ file:
```
4
Lattice="3.5230 0.0000 0.0000 0.0000 3.5230 0.0000 0.0000 0.0000 9.8488" Properties=species:S:1:pos:R:3 pbc="T T T"
Ca 0.0000 0.0000 2.3974
Ca 0.0000 0.0000 7.4514
Mg 1.7615 1.7615 0.0000
Sc 1.7615 1.7615 4.9244
```

Properties
VASP energy (eV/cell): -38.09

No. 2
Here is CaMg4Sc at its PBEsol-relaxed geometry from the Alexandria database. Energies are from meta-GGA SCAN.

extended XYZ file:
```
6
Lattice="0.0000 4.2189 4.2189 4.2189 0.0000 4.2189 4.2189 4.2189 0.0000" Properties=species:S:1:pos:R:3 pbc="T T T"
Ca 0.0000 0.0000 0.0000
Mg 3.1711 3.1711 3.1711
Mg 5.2667 5.2667 3.1711
Mg 5.2667 3.1711 5.2667
Mg 3.1711 5.2667 5.2667
Sc 6.3283 6.3283 6.3283
```

Properties
VASP energy (eV/cell): -44.04

No. 3
Here is CaMgSc2 at its PBEsol-relaxed geometry from the Alexandria database. Energies are from meta-GGA SCAN.

extended XYZ file:
```
4
Lattice="3.4010 0.0000 0.0000 0.0000 3.4010 0.0000 0.0000 0.0000 9.2263" Properties=species:S:1:pos:R:3 pbc="T T T"
Ca 0.0000 0.0000 0.0000
Mg 1.7005 1.7005 2.4897
Sc 0.0000 0.0000 4.5484
Sc 1.7005 1.7005 6.5680
```

Properties
VASP energy (eV/cell): -42.94

No. 4
Here is CaMgSc2Ta at its PBEsol-relaxed geometry from the Alexandria database. Energies are from meta-GGA SCAN.

extended XYZ file:
```
5
Lattice="5.1545 0.0000 0.0000 0.0000 5.1545 0.0000 0.0000 0.0000 5.0611" Properties=species:S:1:pos:R:3 pbc="T T T"
Ca 0.0000 0.0000 0.0000
Mg 2.5772 2.5772 2.5306
Sc 0.0000 2.5772 2.5306
Sc 2.5772 0.0000 2.5306
Ta 2.5772 2.5772 0.0000
```

Properties
VASP energy (eV/cell): -104.43

No. 5
Here is CaMg2Se at its PBEsol-relaxed geometry from the Alexandria database. Energies are from meta-GGA SCAN.

extended XYZ file:
```
4
Lattice="3.9429 0.0000 0.0000 0.0000 3.9429 0.0000 0.0000 0.0000 6.2126" Properties=species:S:1:pos:R:3 pbc="T T T"
Ca 0.0000 0.0000 0.0000
Mg 1.9714 1.9714 1.6798
Mg 1.9714 1.9714 4.5328
Se 0.0000 0.0000 3.1063
```

Properties
Formation energy (no corrections) (kcal/mol of atoms): -7.95

No. 6
Here is CaMgSe3 at its PBEsol-relaxed geometry from the Alexandria database. Energies are from meta-GGA SCAN.

extended XYZ file:
```
5
Lattice="5.0105 0.0000 0.0000 0.0000 5.0105 0.0000 0.0000 0.0000 5.0105" Properties=species:S:1:pos:R:3 pbc="T T T"
Ca 0.0000 0.0000 0.0000
Mg 2.5052 2.5052 2.5052
Se 0.0000 2.5052 2.5052
Se 2.5052 0.0000 2.5052
Se 2.5052 2.5052 0.0000
```

Properties
Formation energy (no corrections) (kcal/mol of atoms): -19.55

No. 7
Here is CaMg2Se at its PBEsol-relaxed geometry from the Alexandria database. Energies are from meta-GGA SCAN.

extended XYZ file:
```
4
Lattice="4.2040 0.0000 0.0000 0.0000 4.2040 0.0000 0.0000 0.0000 5.5118" Properties=species:S:1:pos:R:3 pbc="T T T"
Ca 0.0000 0.0000 0.0000
Mg 0.0000 2.1020 2.7559
Mg 2.1020 0.0000 2.7559
Se 2.1020 2.1020 0.0000
```

Properties
Formation energy (no corrections) (kcal/mol of atoms): -13.73

No. 8
Here is Ca3MgSe at its PBEsol-relaxed geometry from the Alexandria database. Energies are from meta-GGA SCAN.

extended XYZ file:
```
5
Lattice="5.5544 0.0000 0.0000 0.0000 5.5544 0.0000 0.0000 0.0000 5.5544" Properties=species:S:1:pos:R:3 pbc="T T T"
Ca 0.0000 0.0000 2.7772
Ca 0.0000 2.7772 0.0000
Ca 2.7772 0.0000 0.0000
Mg 2.7772 2.7772 2.7772
Se 0.0000 0.0000 0.0000
```

Properties
Formation energy (no corrections) (kcal/mol of atoms): -16.71
Energy above the lowest structure with this stoichiometry (meV/atom): 0

No. 9
Here is CaSmMg2 at its PBEsol-relaxed geometry from the Alexandria database. Energies are from meta-GGA SCAN.

extended XYZ file:
```
4
Lattice="0.0000 3.8565 3.8565 3.8565 0.0000 3.8565 3.8565 3.8565 0.0000" Properties=species:S:1:pos:R:3 pbc="T T T"
Ca 0.0000 0.0000 0.0000
Sm 3.8565 3.8565 3.8565
Mg 1.9283 1.9283 1.9283
Mg 5.7848 5.7848 5.7848
```

Properties
VASP energy (eV/cell): -64.36

No. 10
Here is Ca4MgSn3 at its PBEsol-relaxed geometry from the Alexandria database. Energies are from meta-GGA SCAN.

extended XYZ file:
```
16
Lattice="-6.1049 6.1049 2.9648 6.1049 -6.1049 2.9648 6.1049 6.1049 -2.9648" Properties=species:S:1:pos:R:3 pbc="T T T"
Ca 9.5329 1.0178 0.0000
Ca 1.0178 2.6769 0.0000
Ca 7.1227 3.4280 0.0000
Ca 3.4280 5.0871 0.0000
Ca 2.6769 1.0178 2.9648
Ca -1.0178 2.6769 2.9648
Ca 5.0871 3.4280 2.9648
Ca -3.4280 5.0871 2.9648
Mg 6.1049 0.0000 1.4824
Mg 0.0000 6.1049 1.4824
Sn 4.2416 1.8633 0.0000
Sn 0.0000 0.0000 1.4824
Sn 4.2416 -1.8633 2.9648
Sn 1.8633 7.9682 0.0000
Sn 0.0000 0.0000 4.4472
Sn 1.8633 4.2416 2.9648
```

Properties
VASP energy (eV/cell): -313.75

No. 11
Here is CaMg3Sn at its PBEsol-relaxed geometry from the Alexandria database. Energies are from meta-GGA SCAN.

extended XYZ file:
```
5
Lattice="5.6681 0.0000 0.0000 0.0000 5.6681 0.0000 0.0000 0.0000 5.6681" Properties=species:S:1:pos:R:3 pbc="T T T"
Ca 0.0000 0.0000 0.0000
Mg 0.0000 0.0000 2.8340
Mg 0.0000 2.8340 0.0000
Mg 2.8340 0.0000 0.0000
Sn 2.8340 2.8340 2.8340
```

Properties
VASP energy (eV/cell): -55.31

No. 12
Here is Sr2CaMg2 at its PBEsol-relaxed geometry from the Alexandria database. Energies are from meta-GGA SCAN.

extended XYZ file:
```
10
Lattice="8.9148 0.0000 0.0000 0.0000 8.9148 0.0000 0.0000 0.0000 4.8597" Properties=species:S:1:pos:R:3 pbc="T T T"
Sr 1.5240 2.9334 0.0000
Sr 2.9334 7.3908 0.0000
Sr 5.9814 1.5240 0.0000
Sr 7.3908 5.9814 0.0000
Ca 0.0000 0.0000 2.4298
Ca 4.4574 4.4574 2.4298
Mg 1.1034 5.5608 2.4298
Mg 3.3540 1.1034 2.4298
Mg 5.5608 7.8114 2.4298
Mg 7.8114 3.3540 2.4298
```

Properties
VASP energy (eV/cell): -128.51

No. 13
Here is SrCa2Mg2 at its PBEsol-relaxed geometry from the Alexandria database. Energies are from meta-GGA SCAN.

extended XYZ file:
```
10
Lattice="9.5799 0.0000 0.0000 0.0000 9.5799 0.0000 0.0000 0.0000 3.6991" Properties=species:S:1:pos:R:3 pbc="T T T"
Sr 0.0000 0.0000 0.0000
Sr 4.7899 4.7899 0.0000
Ca 1.2440 3.5459 0.0000
Ca 3.5459 8.3359 0.0000
Ca 6.0339 1.2440 0.0000
Ca 8.3359 6.0339 0.0000
Mg 1.5841 6.3741 1.8495
Mg 3.2058 1.5841 1.8495
Mg 6.3741 7.9957 1.8495
Mg 7.9957 3.2058 1.8495
```

Properties
VASP energy (eV/cell): -103.04

No. 14
Here is SrCa3Mg at its PBEsol-relaxed geometry from the Alexandria database. Energies are from meta-GGA SCAN.

extended XYZ file:
```
5
Lattice="6.1851 0.0000 0.0000 0.0000 6.1851 0.0000 0.0000 0.0000 6.1851" Properties=species:S:1:pos:R:3 pbc="T T T"
Sr 0.0000 0.0000 0.0000
Ca 0.0000 0.0000 3.0925
Ca 0.0000 3.0925 0.0000
Ca 3.0925 0.0000 0.0000
Mg 3.0925 3.0925 3.0925
```

Properties
VASP energy (eV/cell): -51.39

no.,DOS at the Fermi energy (states/eV/f.u.)
1,4.96
2,4.71
3,4.22
4,5.77
5,3.66
6,5.76
7,1.30
8,3.29
9,3.54
10,5.40
11,3.80
12,4.37
13,5.16
14,3.45